No. 1
Y2ReCl: PBEsol geometry, meta-GGA SCAN.

Geometry as POSCAR:
```
Y2ReCl
1.0
-2.166 0.431 -2.519
-1.803 -4.314 0.812
-2.391 1.866 4.603
Y Re Cl
2 1 1
Direct
0.990 0.500 0.979
0.259 0.000 0.518
0.731 0.500 0.462
0.521 0.000 0.041
```

Results
Magnetic moment   0.000 μB per formula unit
Raw formation energy   -0.451 eV per atom
Crystal system   orthorhombic
Electronic total energy   -136.57 eV per cell

=====

No. 2
CdAu2Cl: PBEsol geometry, meta-GGA SCAN.

Geometry as POSCAR:
```
CdAu2Cl
1.0
-2.603 -1.568 0.507
-1.437 -2.215 -4.861
1.273 -5.346 -0.635
Cl Au Cd
1 2 1
Direct
0.249 0.251 0.251
0.998 0.002 0.002
0.749 0.751 0.751
0.504 0.496 0.496
```

Results
Magnetic moment   0.000 μB per formula unit
Raw formation energy   -0.074 eV per atom
Crystal system   orthorhombic
Electronic total energy   -177.00 eV per cell

=====

No. 3
CuBr: PBEsol geometry, meta-GGA SCAN.

Geometry as POSCAR:
```
CuBr
1.0
-0.367 -3.487 -2.160
2.012 -1.875 2.685
-5.898 -1.478 3.387
Br Cu
2 2
Direct
0.000 0.750 0.750
0.000 0.250 0.250
0.500 0.750 0.885
0.500 0.250 0.115
```

Results
Magnetic moment   0.000 μB per formula unit
Raw formation energy   -0.073 eV per atom
Crystal system   orthorhombic
Electronic total energy   -69.61 eV per cell

=====

No. 4
ScTlGaCu2: PBEsol geometry, meta-GGA SCAN.

Geometry as POSCAR:
```
ScTlGaCu2
1.0
-2.782 -3.406 1.815
2.420 -3.282 -2.450
3.375 -0.572 4.100
Sc Tl Cu Ga
1 1 2 1
Direct
0.000 0.000 0.500
0.000 0.000 0.000
0.000 0.500 0.000
0.500 0.000 0.000
0.500 0.500 0.500
```

Results
Magnetic moment   0.007 μB per formula unit
Crystal system   tetragonal
Electronic total energy   -129.65 eV per cell
Formation energy from the elements   0.74 eV per atom

=====

No. 5
CoRuPb2: PBEsol geometry, meta-GGA SCAN.

Geometry as POSCAR:
```
CoRuPb2
1.0
-3.072 -0.348 -0.068
0.203 -2.460 3.384
0.843 5.969 1.697
Co Pb Ru
1 2 1
Direct
0.251 0.751 0.503
0.960 0.960 0.921
0.726 0.226 0.452
0.562 0.562 0.124
```

Results
Magnetic moment   2.249 μB per formula unit
Crystal system   orthorhombic
Electronic total energy   -201.27 eV per cell
Formation energy from the elements   0.61 eV per atom

=====

No. 6
Tm2Mn17C3: PBEsol geometry, meta-GGA SCAN.

Geometry as POSCAR:
```
Tm2Mn17C3
1.0
8.177 0.000 0.000
0.000 8.316 0.000
0.000 -4.158 7.202
Tm Mn C
4 34 6
Direct
0.250 0.333 0.667
0.750 0.667 0.333
0.250 0.000 0.000
0.750 0.000 0.000
0.250 0.938 0.609
0.750 0.062 0.391
0.250 0.671 0.062
0.750 0.609 0.938
0.750 0.329 0.938
0.250 0.391 0.062
0.250 0.391 0.329
0.750 0.062 0.671
0.750 0.609 0.671
0.250 0.938 0.329
0.750 0.329 0.391
0.250 0.671 0.609
0.893 0.333 0.667
0.107 0.667 0.333
0.393 0.667 0.333
0.607 0.333 0.667
0.473 0.658 0.829
0.527 0.342 0.171
0.473 0.171 0.342
0.973 0.342 0.171
0.527 0.829 0.658
0.027 0.658 0.829
0.473 0.171 0.829
0.973 0.829 0.658
0.527 0.829 0.171
0.027 0.171 0.342
0.973 0.829 0.171
0.027 0.171 0.829
0.500 0.000 0.500
0.500 0.500 0.000
0.000 0.000 0.500
0.500 0.500 0.500
0.000 0.500 0.000
0.000 0.500 0.500
0.250 0.671 0.836
0.750 0.329 0.164
0.250 0.164 0.329
0.750 0.836 0.671
0.250 0.164 0.836
0.750 0.836 0.164
```

Results
Magnetic moment   5.690 μB per formula unit
Crystal system   hexagonal
Electronic total energy   -893.71 eV per cell
Formation energy from the elements   -0.12 eV per atom

=====

No. 7
K2SiRu: PBEsol geometry, meta-GGA SCAN.

Geometry as POSCAR:
```
K2SiRu
1.0
4.875 0.000 0.000
2.437 4.222 0.000
2.437 1.407 3.980
K Ru Si
2 1 1
Direct
0.000 0.000 0.000
0.750 0.750 0.750
0.500 0.500 0.500
0.250 0.250 0.250
```

Results
Magnetic moment   0.000 μB per formula unit
Raw formation energy   0.957 eV per atom
Crystal system   cubic
Electronic total energy   -57.67 eV per cell

=====

No. 8
CsRb2TlCd: PBEsol geometry, meta-GGA SCAN.

Geometry as POSCAR:
```
CsRb2TlCd
1.0
6.558 0.000 0.000
0.000 7.832 0.000
0.000 0.000 7.832
Cs Tl Rb Cd
1 1 2 1
Direct
0.000 0.000 0.000
0.500 0.000 0.000
0.000 0.000 0.500
0.000 0.500 0.000
0.500 0.500 0.500
```

Results
Magnetic moment   1.445 μB per formula unit
Crystal system   tetragonal
Electronic total energy   -179.48 eV per cell
Formation energy from the elements   0.52 eV per atom

=====

No. 9
Ba3Y2O6: PBEsol geometry, meta-GGA SCAN.

Geometry as POSCAR:
```
Ba3Y2O6
1.0
-1.875 2.481 -1.681
5.676 -2.868 -10.564
-12.722 -12.033 -3.568
Ba Y O
12 8 24
Direct
0.500 0.108 0.847
0.500 0.133 0.447
0.500 0.147 0.233
0.500 0.353 0.733
0.500 0.367 0.947
0.500 0.392 0.347
0.500 0.608 0.653
0.500 0.633 0.053
0.500 0.647 0.267
0.500 0.853 0.767
0.500 0.867 0.553
0.500 0.892 0.153
0.000 0.118 0.639
0.000 0.128 0.041
0.000 0.372 0.541
0.000 0.382 0.139
0.000 0.618 0.861
0.000 0.628 0.459
0.000 0.872 0.959
0.000 0.882 0.361
0.500 0.000 0.000
0.000 0.000 0.500
0.500 0.984 0.339
0.000 0.053 0.152
0.000 0.198 0.743
0.500 0.249 0.584
0.000 0.210 0.933
0.000 0.290 0.433
0.500 0.251 0.084
0.000 0.302 0.243
0.000 0.447 0.652
0.500 0.516 0.839
0.000 0.500 0.000
0.500 0.500 0.500
0.500 0.484 0.161
0.000 0.553 0.348
0.000 0.698 0.757
0.500 0.749 0.916
0.000 0.710 0.567
0.000 0.790 0.067
0.500 0.751 0.416
0.000 0.802 0.257
0.000 0.947 0.848
0.500 0.016 0.661
```

Results
Magnetic moment   0.000 μB per formula unit
Raw formation energy   -3.185 eV per atom
Crystal system   orthorhombic
Electronic total energy   -987.02 eV per cell

=====

No. 10
RbB2Mo: PBEsol geometry, meta-GGA SCAN.

Geometry as POSCAR:
```
RbB2Mo
1.0
-3.288 2.459 -1.589
-4.179 -1.177 0.728
-2.506 2.362 2.742
Mo B Rb
1 2 1
Direct
0.500 0.500 0.500
0.250 0.250 0.250
0.750 0.750 0.750
0.000 0.000 0.000
```

Results
Magnetic moment   2.556 μB per formula unit
Crystal system   cubic
Electronic total energy   -61.01 eV per cell
Formation energy from the elements   2.37 eV per atom

=====

No. 11
Y3Tl5: PBEsol geometry, meta-GGA SCAN.

Geometry as POSCAR:
```
Y3Tl5
1.0
6.376 0.027 0.000
-1.383 6.224 0.000
0.000 0.000 10.320
Y Tl
6 10
Direct
0.206 0.794 0.000
0.794 0.206 0.000
0.794 0.206 0.500
0.206 0.794 0.500
0.613 0.613 0.750
0.387 0.387 0.250
0.510 0.067 0.750
0.490 0.933 0.250
0.067 0.510 0.750
0.933 0.490 0.250
0.002 0.002 0.750
0.998 0.998 0.250
0.303 0.303 0.961
0.697 0.697 0.039
0.697 0.697 0.461
0.303 0.303 0.539
```

Results
Magnetic moment   0.000 μB per formula unit
Crystal system   orthorhombic
Electronic total energy   -899.22 eV per cell
Formation energy from the elements   -0.54 eV per atom

=====

No. 12
Zr2Ru: PBEsol geometry, meta-GGA SCAN.

Geometry as POSCAR:
```
Zr2Ru
1.0
3.217 0.000 0.000
-1.608 2.786 0.000
0.000 0.000 6.447
Ru Zr
1 2
Direct
0.000 0.000 0.000
0.667 0.333 0.700
0.333 0.667 0.300
```

Results
Magnetic moment   0.000 μB per formula unit
Crystal system   trigonal
Electronic total energy   -96.70 eV per cell
Formation energy from the elements   -0.16 eV per atom